[1]
The following is a DFT calculation (PBE-GGA) of BeCoNi2 after structural relaxation.

Geometry as POSCAR:
```
BeCoNi2
1.0
2.456 -3.331 0.000
2.456 3.331 0.000
0.000 0.000 2.479
Be Co Ni
1 1 2
direct
0.000 0.000 0.000 Be
0.500 0.500 0.000 Co
0.000 0.500 0.500 Ni
0.500 0.000 0.500 Ni
```

Output
The value obtained for the magnetization is 0.5261 μB/atom. For the formation energy, the calculation gives -120 meV/atom. The calculation puts the uncorrected energy at -22.9 eV per cell.

[2]
The following is a DFT calculation (PBE-GGA) of K2ReWI after structural relaxation.

Geometry as POSCAR:
```
K2ReWI
1.0
6.729 0.000 0.000
0.000 6.729 0.000
0.000 0.000 5.129
K Re W I
2 1 1 1
direct
0.000 0.500 0.000 K
0.500 0.000 0.000 K
0.000 0.000 0.500 Re
0.500 0.500 0.000 W
0.500 0.500 0.500 I
```

Output
The value obtained for the magnetization is 1.4131 μB/atom. For the formation energy (no corrections), the calculation gives 2.210 eV/atom. The calculation puts the uncorrected energy at -18.1 eV per cell. Its energy above the most stable polymorph in this dataset is 0.000 eV per atom.

[3]
The following is a DFT calculation (PBE-GGA) of TlFe2Tc after structural relaxation.

Geometry as POSCAR:
```
TlFe2Tc
1.0
1.614 -2.270 0.000
1.614 2.270 0.000
0.000 0.000 8.632
Tl Fe Tc
1 2 1
direct
0.000 0.000 0.000 Tl
0.500 0.500 0.275 Fe
0.500 0.500 0.725 Fe
0.000 0.000 0.500 Tc
```

Output
The value obtained for the magnetization is 1.2760 μB/atom. For the formation energy, the calculation gives 590 meV/atom. The calculation puts the uncorrected energy at -27.3 eV per cell. Its energy above the most stable polymorph in this dataset is 0.174 eV per atom.

[4]
The following is a DFT calculation (PBE-GGA) of Mn2TlPb after structural relaxation.

Geometry as POSCAR:
```
Mn2TlPb
1.0
5.723 -1.595 0.000
5.723 1.595 0.000
-1.540 0.000 4.630
Mn Tl Pb
2 1 1
direct
0.000 0.000 0.000 Mn
0.698 0.698 0.287 Mn
0.466 0.466 0.474 Tl
0.248 0.248 0.827 Pb
```

Output
The value obtained for the magnetization is 1.8248 μB/atom. For the formation energy, the calculation gives 481 meV/atom. The calculation puts the uncorrected energy at -22.5 eV per cell.

[5]
The following is a DFT calculation (PBE-GGA) of UTlInTe3 after structural relaxation.

Geometry as POSCAR:
```
UTlInTe3
1.0
9.598 0.000 0.000
0.000 4.347 0.000
-1.533 0.000 11.547
U Tl In Te
2 2 2 6
direct
0.089 0.250 0.345 U
0.911 0.750 0.655 U
0.409 0.750 0.664 Tl
0.591 0.250 0.336 Tl
0.055 0.750 0.127 In
0.945 0.250 0.873 In
0.129 0.250 0.612 Te
0.158 0.750 0.899 Te
0.322 0.750 0.382 Te
0.678 0.250 0.618 Te
0.842 0.250 0.101 Te
0.871 0.750 0.388 Te
```

Output
The value obtained for the magnetization is 0.3323 μB/atom. For the formation energy (no corrections), the calculation gives -0.381 eV/atom. The calculation puts the uncorrected energy at -56.2 eV per cell.

[6]
The following is a DFT calculation (PBE-GGA) of Zn2Pt2I after structural relaxation.

Geometry as POSCAR:
```
Zn2Pt2I
1.0
-1.923 1.923 6.335
1.923 -1.923 6.335
1.923 1.923 -6.335
Zn Pt I
2 2 1
direct
0.250 0.750 0.500 Zn
0.750 0.250 0.500 Zn
0.111 0.111 0.000 Pt
0.889 0.889 0.000 Pt
0.500 0.500 0.000 I
```

Output
The value obtained for the magnetization is 0.0000 μB/atom. For the formation energy (no corrections), the calculation gives -0.038 eV/atom. The calculation puts the uncorrected energy at -16.4 eV per cell. Its energy above the most stable polymorph in this dataset is 0.051 eV per atom.

[7]
The following is a DFT calculation (PBE-GGA) of Li6Ti after structural relaxation.

Geometry as POSCAR:
```
Li6Ti
1.0
-3.279 3.279 3.279
3.279 -3.279 3.279
3.279 3.279 -3.279
Li Ti
6 1
direct
0.250 0.500 0.750 Li
0.250 0.750 0.500 Li
0.500 0.250 0.750 Li
0.500 0.750 0.250 Li
0.750 0.250 0.500 Li
0.750 0.500 0.250 Li
0.000 0.000 0.000 Ti
```

Output
The value obtained for the magnetization is 0.3613 μB/atom. For the formation energy, the calculation gives 682 meV/atom. The calculation puts the uncorrected energy at -14.6 eV per cell.

[8]
The following is a DFT calculation (PBE-GGA) of KScB2H8 after structural relaxation.

Geometry as POSCAR:
```
KScB2H8
1.0
1.999 1.154 7.567
-1.999 1.154 7.567
0.000 -2.308 7.567
K Sc B H
1 1 2 8
direct
0.000 0.000 0.000 K
0.500 0.500 0.500 Sc
0.237 0.237 0.237 B
0.763 0.763 0.763 B
0.049 0.049 0.555 H
0.049 0.555 0.049 H
0.291 0.291 0.291 H
0.445 0.951 0.951 H
0.555 0.049 0.049 H
0.709 0.709 0.709 H
0.951 0.445 0.951 H
0.951 0.951 0.445 H
```

Output
The value obtained for the magnetization is 0.0000 μB/atom. The calculation puts the uncorrected energy at -50.4 eV per cell.

[9]
The following is a DFT calculation (PBE-GGA) of Sc2MoPb after structural relaxation.

Geometry as POSCAR:
```
Sc2MoPb
1.0
1.848 -2.535 0.000
1.848 2.535 0.000
0.000 0.000 9.428
Sc Mo Pb
2 1 1
direct
0.000 0.000 0.000 Sc
0.500 0.500 0.274 Sc
0.500 0.500 0.776 Mo
0.000 0.000 0.543 Pb
```

Output
The value obtained for the magnetization is 0.0000 μB/atom. For the formation energy, the calculation gives 270 meV/atom. The calculation puts the uncorrected energy at -26.1 eV per cell.

[10]
The following is a DFT calculation (PBE-GGA) of Cs2ZrGe after structural relaxation.

Geometry as POSCAR:
```
Cs2ZrGe
1.0
0.000 4.305 4.305
4.305 0.000 4.305
4.305 4.305 0.000
Cs Zr Ge
2 1 1
direct
0.250 0.250 0.250 Cs
0.750 0.750 0.750 Cs
0.000 0.000 0.000 Zr
0.500 0.500 0.500 Ge
```

Output
The value obtained for the magnetization is 0.5002 μB/atom. For the formation energy, the calculation gives 1201 meV/atom. The calculation puts the uncorrected energy at -10.1 eV per cell. Its energy above the most stable polymorph in this dataset is 0.648 eV per atom.

[11]
The following is a DFT calculation (PBE-GGA) of TeAs2Pt after structural relaxation.

Geometry as POSCAR:
```
TeAs2Pt
1.0
2.882 -4.892 0.000
2.882 4.892 0.000
-0.878 0.000 2.820
Te As Pt
1 2 1
direct
0.000 0.000 0.000 Te
0.000 0.500 0.500 As
0.500 0.000 0.500 As
0.500 0.500 0.000 Pt
```

Output
The value obtained for the magnetization is 0.0000 μB/atom. For the formation energy (no corrections), the calculation gives 0.394 eV/atom. The calculation puts the uncorrected energy at -16.9 eV per cell.

[12]
The following is a DFT calculation (PBE-GGA) of TmScGaNi after structural relaxation.

Geometry as POSCAR:
```
TmScGaNi
1.0
4.205 0.000 0.000
0.000 1.759 5.325
0.000 -1.759 5.325
Tm Sc Ga Ni
1 1 1 1
direct
0.000 0.000 0.000 Tm
0.500 0.283 0.283 Sc
0.000 0.722 0.722 Ga
0.500 0.583 0.583 Ni
```

Output
The value obtained for the magnetization is 0.0000 μB/atom. For the formation energy, the calculation gives -533 meV/atom. The calculation puts the uncorrected energy at -21.7 eV per cell. Its energy above the most stable polymorph in this dataset is 0.000 eV per atom.

[13]
The following is a DFT calculation (PBE-GGA) of Mg5Sn4Pd2 after structural relaxation.

Geometry as POSCAR:
```
Mg5Sn4Pd2
1.0
7.434 0.000 0.000
0.000 16.966 0.000
0.000 0.000 3.700
Mg Sn Pd
10 8 4
direct
0.000 0.000 0.000 Mg
0.125 0.414 0.000 Mg
0.246 0.219 0.000 Mg
0.254 0.719 0.000 Mg
0.375 0.914 0.000 Mg
0.500 0.500 0.000 Mg
0.625 0.086 0.000 Mg
0.746 0.281 0.000 Mg
0.754 0.781 0.000 Mg
0.875 0.586 0.000 Mg
0.083 0.851 0.500 Sn
0.195 0.561 0.500 Sn
0.305 0.061 0.500 Sn
0.417 0.351 0.500 Sn
0.583 0.649 0.500 Sn
0.695 0.939 0.500 Sn
0.805 0.439 0.500 Sn
0.917 0.149 0.500 Sn
0.030 0.304 0.500 Pd
0.470 0.804 0.500 Pd
0.530 0.196 0.500 Pd
0.970 0.696 0.500 Pd
```

Output
The value obtained for the magnetization is 0.0000 μB/atom. For the formation energy, the calculation gives -366 meV/atom. The calculation puts the uncorrected energy at -76.8 eV per cell.

[14]
The following is a DFT calculation (PBE-GGA) of MnSi after structural relaxation.

Geometry as POSCAR:
```
MnSi
1.0
-3.626 3.626 3.626
3.626 -3.626 3.626
3.626 3.626 -3.626
Mn Si
4 4
direct
0.000 0.000 0.257 Mn
0.000 0.257 0.000 Mn
0.257 0.000 0.000 Mn
0.743 0.743 0.743 Mn
0.000 0.000 0.626 Si
0.000 0.626 0.000 Si
0.374 0.374 0.374 Si
0.626 0.000 0.000 Si
```

Output
The value obtained for the magnetization is 1.2396 μB/atom. For the formation energy (no corrections), the calculation gives 0.683 eV/atom. The calculation puts the uncorrected energy at -52.9 eV per cell.

[15]
The following is a DFT calculation (PBE-GGA) of Cr4SiTc after structural relaxation.

Geometry as POSCAR:
```
Cr4SiTc
1.0
0.000 3.333 3.333
3.333 0.000 3.333
3.333 3.333 0.000
Cr Si Tc
4 1 1
direct
0.123 0.123 0.123 Cr
0.123 0.123 0.630 Cr
0.123 0.630 0.123 Cr
0.630 0.123 0.123 Cr
0.750 0.750 0.750 Si
0.500 0.500 0.500 Tc
```

Output
The value obtained for the magnetization is 0.0000 μB/atom. For the formation energy (no corrections), the calculation gives 0.062 eV/atom. The calculation puts the uncorrected energy at -53.9 eV per cell.

[16]
The following is a DFT calculation (PBE-GGA) of Cs4Nd3AlS8 after structural relaxation.

Geometry as POSCAR:
```
Cs4Nd3AlS8
1.0
7.164 -4.133 0.000
7.164 4.133 0.000
-4.780 0.000 8.075
Cs Nd Al S
4 3 1 8
direct
0.000 0.000 0.000 Cs
0.000 0.500 0.000 Cs
0.500 0.000 0.000 Cs
0.500 0.500 0.000 Cs
0.000 0.000 0.500 Nd
0.000 0.500 0.500 Nd
0.500 0.000 0.500 Nd
0.500 0.500 0.500 Al
0.230 0.230 0.690 S
0.255 0.710 0.676 S
0.289 0.289 0.323 S
0.290 0.745 0.324 S
0.710 0.255 0.676 S
0.711 0.711 0.677 S
0.745 0.290 0.324 S
0.770 0.770 0.310 S
```

Output
The value obtained for the magnetization is 0.0000 μB/atom. For the formation energy (no corrections), the calculation gives -1.557 eV/atom. The calculation puts the uncorrected energy at -79.4 eV per cell.

[17]
The following is a DFT calculation (PBE-GGA) of Re2NiW after structural relaxation.

Geometry as POSCAR:
```
Re2NiW
1.0
-1.940 1.940 3.809
1.940 -1.940 3.809
1.940 1.940 -3.809
Re Ni W
2 1 1
direct
0.000 0.000 0.000 Re
0.750 0.250 0.500 Re
0.500 0.500 0.000 Ni
0.250 0.750 0.500 W
```

Output
The value obtained for the magnetization is 0.0000 μB/atom. For the formation energy, the calculation gives 34 meV/atom. The calculation puts the uncorrected energy at -43.5 eV per cell. Its energy above the most stable polymorph in this dataset is 0.023 eV per atom.

[18]
The following is a DFT calculation (PBE-GGA) of MgCuHgP2 after structural relaxation.

Geometry as POSCAR:
```
MgCuHgP2
1.0
4.527 0.000 0.000
0.000 4.527 0.000
0.000 0.000 5.090
Mg Cu Hg P
1 1 1 2
direct
0.000 0.000 0.000 Mg
0.500 0.500 0.500 Cu
0.500 0.500 0.000 Hg
0.000 0.500 0.500 P
0.500 0.000 0.500 P
```

Output
The value obtained for the magnetization is 0.0000 μB/atom. For the formation energy, the calculation gives 460 meV/atom. The calculation puts the uncorrected energy at -14.5 eV per cell.

[19]
The following is a DFT calculation (PBE-GGA) of Ac6Te3Ir2Cl after structural relaxation.

Geometry as POSCAR:
```
Ac6Te3Ir2Cl
1.0
3.900 -6.743 0.000
3.900 6.743 0.000
-2.588 0.000 7.951
Ac Te Ir Cl
6 3 2 1
direct
0.068 0.429 0.784 Ac
0.211 0.211 0.213 Ac
0.429 0.068 0.784 Ac
0.571 0.932 0.216 Ac
0.789 0.789 0.787 Ac
0.932 0.571 0.216 Ac
0.000 0.000 0.500 Te
0.342 0.658 0.500 Te
0.658 0.342 0.500 Te
0.168 0.832 0.000 Ir
0.832 0.168 0.000 Ir
0.500 0.500 0.000 Cl
```

Output
The value obtained for the magnetization is 0.0000 μB/atom. For the formation energy (no corrections), the calculation gives -1.299 eV/atom. The calculation puts the uncorrected energy at -69.2 eV per cell.

[20]
The following is a DFT calculation (PBE-GGA) of BaCo3N after structural relaxation.

Geometry as POSCAR:
```
BaCo3N
1.0
4.948 0.000 0.000
0.000 4.948 0.000
0.000 0.000 4.948
Ba Co N
1 3 1
direct
0.000 0.000 0.000 Ba
0.000 0.000 0.500 Co
0.000 0.500 0.000 Co
0.500 0.000 0.000 Co
0.500 0.500 0.500 N
```

Output
The value obtained for the magnetization is 1.1283 μB/atom. For the formation energy (no corrections), the calculation gives 3.216 eV/atom. The calculation puts the uncorrected energy at -15.5 eV per cell. Its energy above the most stable polymorph in this dataset is 2.672 eV per atom.